Entry 1:
The following is a DFT calculation (PBE) of Ba12Ni5Pd3 after structural relaxation.

CIF file:
```
data_Ba12Ni5Pd3
_symmetry_space_group_name_H-M 'I a -3 d'
_symmetry_Int_Tables_number 230
_symmetry_space_group_name_Hall '-I 4bd 2c 3'
_cell_length_a 18.5053
_cell_length_b 18.5053
_cell_length_c 18.5053
_cell_angle_alpha 90.00
_cell_angle_beta 90.00
_cell_angle_gamma 90.00
loop_
_atom_site_label
_atom_site_fract_x
_atom_site_fract_y
_atom_site_fract_z
Ba1 0.0254 0.0640 0.6519
Ni1 0.0000 0.0000 0.0000
Ni2 0.0000 0.2500 0.3750
Pd1 0.0000 0.2500 0.1250
```

E_tot = -3.316 eV per atom
DOS(E_F) = 0.8122 states/eV/atom
magnetic moment = 0.0 μB per formula unit
ΔE_f = 62 meV/atom
calculated density = 4.7 g/cm3

=====

Entry 2:
The following is a DFT calculation (PBE) of Na2As7Pd12 after structural relaxation.

CIF file:
```
data_Na2As7Pd12
_symmetry_space_group_name_H-M 'P -3'
_symmetry_Int_Tables_number 147
_symmetry_space_group_name_Hall '-P 3'
_cell_length_a 10.2165
_cell_length_b 10.2165
_cell_length_c 4.0122
_cell_angle_alpha 90.00
_cell_angle_beta 90.00
_cell_angle_gamma 120.00
loop_
_atom_site_label
_atom_site_fract_x
_atom_site_fract_y
_atom_site_fract_z
Na1 0.3333 0.6667 0.2493
As1 0.0000 0.0000 0.5000
As2 0.1211 0.7084 0.7489
Pd1 0.0551 0.4361 0.7484
Pd2 0.1074 0.2551 0.2385
```

E_tot = -5.076 eV per atom
DOS(E_F) = 0.3773 states/eV/atom
magnetic moment = 0.0 μB per formula unit
ΔE_f = -433 meV/atom
calculated density = 8.5 g/cm3